(1)
First-principles (PBE) data for a relaxed structure of Be2MoRh, as listed in Alexandria.

- formation energy from the elements (eV/atom) = -0.26
- uncorrected energy (eV/atom) = -6.67
- space group = Amm2
- energy above the most stable polymorph in this dataset (eV/f.u.) = 0.125
- spin magnetization (μB per cell) = 0.00

Cell lengths 3.6538, 4.6262, 4.6262 Å; angles 35.46, 90.00, 90.00 degrees
Last column: nearest neighbours and their distance in Å.
Fractional coordinates of all 4 atoms:
Be  0.0000  0.0000  0.0000  2 Be 2.20, 3 Mo 2.40-2.45, 4 Rh 2.40
Be  0.5000  0.1382  0.1382  2 Be 2.20, 2 Rh 2.36, 4 Mo 2.44
Mo  0.0000  0.7276  0.7276  7 Be 2.40-2.45
Rh  0.5000  0.4236  0.4236  7 Be 2.36-2.52

(2)
First-principles (PBE) data for a relaxed structure of BeMoRh2, as listed in Alexandria.

- formation energy from the elements (eV/atom) = -0.23
- uncorrected energy (eV/atom) = -7.54
- space group = P2/m
- spin magnetization (μB per cell) = 0.00

Cell lengths 2.7801, 3.4412, 5.5824 Å; angles 90.00, 90.09, 90.00 degrees
Last column: nearest neighbours and their distance in Å.
Fractional coordinates of all 4 atoms:
Be  0.0000  0.0000  0.0000  8 Rh 2.56, 2 Be 2.78, 2 Mo 2.79
Mo  0.0000  0.0000  0.5000  8 Rh 2.67, 2 Mo 2.78, 2 Be 2.79
Rh  0.4994  0.5000  0.2316  4 Be 2.56, 3 Rh 2.59-2.78, 4 Mo 2.67
Rh  0.5006  0.5000  0.7684  4 Be 2.56, 3 Rh 2.59-2.78, 4 Mo 2.67

(3)
First-principles (PBE) data for a relaxed structure of BeMoRh2, as listed in Alexandria.

- formation energy from the elements (eV/atom) = -0.25
- uncorrected energy (eV/atom) = -7.56
- space group = Immm
- spin magnetization (μB per cell) = 0.00

Cell lengths 4.9438, 4.9438, 4.9438 Å; angles 147.24, 126.97, 63.75 degrees
Last column: nearest neighbours and their distance in Å.
Fractional coordinates of all 4 atoms:
Be  0.0000  0.0000  0.0000  4 Rh 2.29
Mo  0.5000  0.5000  0.0000  4 Be 2.61, 8 Rh 2.76-2.86, 2 Mo 2.79
Rh  0.2165  0.7165  0.5000  2 Be 2.29
Rh  0.7835  0.2835  0.5000  2 Be 2.29

(4)
First-principles (PBE) data for a relaxed structure of Be3MoRh, as listed in Alexandria.

- formation energy from the elements (eV/atom) = 0.54
- uncorrected energy (eV/atom) = -5.33
- space group = Pm-3m
- energy above the most stable polymorph in this dataset (eV/f.u.) = 0.000
- spin magnetization (μB per cell) = 1.36

Cell lengths 4.0214, 4.0214, 4.0214 Å; angles 90.00, 90.00, 90.00 degrees
Last column: nearest neighbours and their distance in Å.
Fractional coordinates of all 5 atoms:
Be  0.0000  0.0000  0.5000  2 Rh 2.01
Be  0.0000  0.5000  0.0000  2 Rh 2.01
Be  0.5000  0.0000  0.0000  2 Rh 2.01
Mo  0.5000  0.5000  0.5000  12 Be 2.84
Rh  0.0000  0.0000  0.0000  6 Be 2.01

(5)
First-principles (PBE) data for a relaxed structure of BeMoRh2, as listed in Alexandria.

- formation energy from the elements (eV/atom) = -0.22
- uncorrected energy (eV/atom) = -7.53
- space group = I4/mmm
- spin magnetization (μB per cell) = 0.00

Cell lengths 4.5302, 4.5302, 4.5302 Å; angles 129.70, 129.70, 73.88 degrees
Last column: nearest neighbours and their distance in Å.
Fractional coordinates of all 4 atoms:
Be  0.0000  0.0000  0.0000  8 Rh 2.64, 4 Mo 2.72
Mo  0.5000  0.5000  0.0000  8 Rh 2.64, 4 Be 2.72
Rh  0.2500  0.7500  0.5000  4 Mo 2.64, 4 Be 2.64, 4 Rh 2.72
Rh  0.7500  0.2500  0.5000  4 Mo 2.64, 4 Be 2.64, 4 Rh 2.72

(6)
First-principles (PBE) data for a relaxed structure of BeMo4Rh, as listed in Alexandria.

- formation energy from the elements (eV/atom) = 0.48
- uncorrected energy (eV/atom) = -8.58
- space group = F-43m
- spin magnetization (μB per cell) = 0.00

Cell lengths 5.1365, 5.1365, 5.1365 Å; angles 60.00, 60.00, 60.00 degrees
Last column: nearest neighbours and their distance in Å.
Fractional coordinates of all 6 atoms:
Be  0.0000  0.0000  0.0000  12 Mo 3.01, 4 Rh 3.15
Mo  0.1212  0.6263  0.6263  6 Mo 2.54-2.59
Mo  0.6263  0.1212  0.6263  6 Mo 2.54-2.59
Mo  0.6263  0.6263  0.1212  6 Mo 2.54-2.59
Mo  0.6263  0.6263  0.6263  6 Mo 2.54-2.59
Rh  0.2500  0.2500  0.2500  12 Mo 3.01, 4 Be 3.15

(7)
First-principles (PBE) data for a relaxed structure of Be2MoRh3, as listed in Alexandria.

- formation energy from the elements (eV/atom) = -0.48
- uncorrected energy (eV/atom) = -7.20
- space group = P4/mmm
- spin magnetization (μB per cell) = 0.00

Cell lengths 2.8044, 2.8044, 9.2986 Å; angles 90.00, 90.00, 90.00 degrees
Last column: nearest neighbours and their distance in Å.
Fractional coordinates of all 6 atoms:
Be  0.0000  0.0000  0.1459  8 Rh 2.40-2.45
Be  0.0000  0.0000  0.8541  8 Rh 2.40-2.45
Mo  0.0000  0.0000  0.5000  8 Rh 2.72, 4 Mo 2.80
Rh  0.5000  0.5000  0.0000  8 Be 2.40
Rh  0.5000  0.5000  0.3002  4 Be 2.45, 4 Mo 2.72
Rh  0.5000  0.5000  0.6998  4 Be 2.45, 4 Mo 2.72

(8)
First-principles (PBE) data for a relaxed structure of BeMoRh4, as listed in Alexandria.

- formation energy from the elements (eV/atom) = 0.33
- uncorrected energy (eV/atom) = -7.00
- space group = F-43m
- spin magnetization (μB per cell) = 0.00

Cell lengths 5.0285, 5.0285, 5.0285 Å; angles 60.00, 60.00, 60.00 degrees
Last column: nearest neighbours and their distance in Å.
Fractional coordinates of all 6 atoms:
Be  0.0000  0.0000  0.0000  12 Rh 2.95, 4 Mo 3.08
Mo  0.7500  0.7500  0.7500  12 Rh 2.95, 4 Be 3.08
Rh  0.3745  0.3745  0.3745  6 Rh 2.50-2.52
Rh  0.3745  0.3745  0.8766  6 Rh 2.50-2.52
Rh  0.3745  0.8766  0.3745  6 Rh 2.50-2.52
Rh  0.8766  0.3745  0.3745  6 Rh 2.50-2.52

(9)
First-principles (PBE) data for a relaxed structure of BeMoRh2, as listed in Alexandria.

- formation energy from the elements (eV/atom) = -0.43
- uncorrected energy (eV/atom) = -7.74
- space group = P4/mmm
- spin magnetization (μB per cell) = 0.00

Cell lengths 2.8017, 2.8017, 6.5485 Å; angles 90.00, 90.00, 90.00 degrees
Last column: nearest neighbours and their distance in Å.
Fractional coordinates of all 4 atoms:
Be  0.0000  0.0000  0.0000  8 Rh 2.43
Mo  0.0000  0.0000  0.5000  8 Rh 2.72, 4 Mo 2.80
Rh  0.5000  0.5000  0.2144  4 Be 2.43
Rh  0.5000  0.5000  0.7856  4 Be 2.43

(10)
First-principles (PBE) data for a relaxed structure of BeMoRh2, as listed in Alexandria.

- formation energy from the elements (eV/atom) = 0.26
- uncorrected energy (eV/atom) = -7.05
- space group = I-42d
- spin magnetization (μB per cell) = 0.00

Cell lengths 8.6491, 8.6491, 8.6491 Å; angles 154.83, 154.83, 35.89 degrees
Last column: nearest neighbours and their distance in Å.
Fractional coordinates of all 8 atoms:
Be  0.0000  0.0000  0.0000  4 Rh 2.42, 4 Mo 2.66
Be  0.7500  0.2500  0.5000  4 Rh 2.42, 4 Mo 2.66
Mo  0.2500  0.7500  0.5000  4 Rh 2.48, 4 Be 2.66
Mo  0.5000  0.5000  0.0000  4 Rh 2.48, 4 Be 2.66
Rh  0.1025  0.6250  0.9775  2 Be 2.42, 2 Mo 2.48, 2 Rh 2.55
Rh  0.3750  0.3525  0.4775  2 Be 2.42, 2 Mo 2.48, 2 Rh 2.55
Rh  0.6475  0.1250  0.0225  2 Be 2.42, 2 Mo 2.48, 2 Rh 2.55
Rh  0.8750  0.8975  0.5225  2 Be 2.42, 2 Mo 2.48, 2 Rh 2.55

(11)
First-principles (PBE) data for a relaxed structure of Be2MoRh, as listed in Alexandria.

- formation energy from the elements (eV/atom) = -0.01
- uncorrected energy (eV/atom) = -6.42
- space group = F-43m
- energy above the most stable polymorph in this dataset (eV/f.u.) = 1.124
- spin magnetization (μB per cell) = 0.00

Cell lengths 4.1059, 4.1059, 4.1059 Å; angles 60.00, 60.00, 60.00 degrees
Last column: nearest neighbours and their distance in Å.
Fractional coordinates of all 4 atoms:
Be  0.0000  0.0000  0.0000  4 Rh 2.51, 4 Be 2.51
Be  0.2500  0.2500  0.2500  4 Mo 2.51, 4 Be 2.51
Mo  0.5000  0.5000  0.5000  4 Be 2.51, 4 Rh 2.51
Rh  0.7500  0.7500  0.7500  4 Be 2.51, 4 Mo 2.51

(12)
First-principles (PBE) data for a relaxed structure of Be2MoRhSe, as listed in Alexandria.

- uncorrected energy (eV/atom) = -4.76
- space group = P4/mmm
- ΔE_f (raw) (eV per atom) = 1.07
- spin magnetization (μB per cell) = 0.06

Cell lengths 4.2854, 4.2854, 4.6475 Å; angles 90.00, 90.00, 90.00 degrees
Last column: nearest neighbours and their distance in Å.
Fractional coordinates of all 5 atoms:
Be  0.0000  0.5000  0.0000  2 Mo 2.14
Be  0.5000  0.0000  0.0000  2 Mo 2.14
Mo  0.0000  0.0000  0.0000  4 Be 2.14, 2 Se 2.32
Rh  0.5000  0.5000  0.5000  4 Se 3.03, 8 Be 3.16
Se  0.0000  0.0000  0.5000  2 Mo 2.32